1.
# ZnSi3H

A relaxed ZnSi3H crystal (GGA-PBEsol, Alexandria via LeMat-Bulk).

Geometry as CIF:
```
data_ZnSi3H
_space_group_name_H-M_alt 'P 1'
_space_group_IT_number 1
_space_group_name_Hall 'P 1'
_cell_length_a 3.966
_cell_length_b 3.966
_cell_length_c 3.966
_cell_angle_alpha 90.00
_cell_angle_beta 90.00
_cell_angle_gamma 90.00
loop_
_atom_site_label
_atom_site_type_symbol
_atom_site_fract_x
_atom_site_fract_y
_atom_site_fract_z
Zn1 Zn 0.000 0.000 0.000
Si1 Si 0.000 0.500 0.500
Si2 Si 0.500 0.000 0.500
Si3 Si 0.500 0.500 0.000
H1 H 0.500 0.500 0.500
```

=====

2.
# ZrSiH2

A relaxed ZrSiH2 crystal (GGA-PBEsol, Alexandria via LeMat-Bulk).

Geometry as CIF:
```
data_ZrSiH2
_space_group_name_H-M_alt 'P 1'
_space_group_IT_number 1
_space_group_name_Hall 'P 1'
_cell_length_a 5.418
_cell_length_b 5.418
_cell_length_c 5.418
_cell_angle_alpha 90.00
_cell_angle_beta 90.00
_cell_angle_gamma 90.00
loop_
_atom_site_label
_atom_site_type_symbol
_atom_site_fract_x
_atom_site_fract_y
_atom_site_fract_z
Zr1 Zr 0.000 0.000 0.000
Zr2 Zr 0.000 0.500 0.500
Zr3 Zr 0.500 0.000 0.500
Zr4 Zr 0.500 0.500 0.000
Si1 Si 0.000 0.000 0.500
Si2 Si 0.000 0.500 0.000
Si3 Si 0.500 0.000 0.000
Si4 Si 0.500 0.500 0.500
H1 H 0.250 0.250 0.250
H2 H 0.250 0.250 0.750
H3 H 0.250 0.750 0.250
H4 H 0.250 0.750 0.750
H5 H 0.750 0.250 0.250
H6 H 0.750 0.250 0.750
H7 H 0.750 0.750 0.250
H8 H 0.750 0.750 0.750
```

=====

3.
# ZrSiH3

A relaxed ZrSiH3 crystal (GGA-PBEsol, Alexandria via LeMat-Bulk).

Geometry as CIF:
```
data_ZrSiH3
_space_group_name_H-M_alt 'P 1'
_space_group_IT_number 1
_space_group_name_Hall 'P 1'
_cell_length_a 3.695
_cell_length_b 3.695
_cell_length_c 3.695
_cell_angle_alpha 90.00
_cell_angle_beta 90.00
_cell_angle_gamma 90.00
loop_
_atom_site_label
_atom_site_type_symbol
_atom_site_fract_x
_atom_site_fract_y
_atom_site_fract_z
Zr1 Zr 0.000 0.000 0.000
Si1 Si 0.500 0.500 0.500
H1 H 0.000 0.000 0.500
H2 H 0.000 0.500 0.000
H3 H 0.500 0.000 0.000
```

=====

4.
# ZrSi2H

A relaxed ZrSi2H crystal (GGA-PBEsol, Alexandria via LeMat-Bulk).

Geometry as CIF:
```
data_ZrSi2H
_space_group_name_H-M_alt 'P 1'
_space_group_IT_number 1
_space_group_name_Hall 'P 1'
_cell_length_a 6.214
_cell_length_b 6.214
_cell_length_c 6.214
_cell_angle_alpha 90.00
_cell_angle_beta 90.00
_cell_angle_gamma 90.00
loop_
_atom_site_label
_atom_site_type_symbol
_atom_site_fract_x
_atom_site_fract_y
_atom_site_fract_z
Zr1 Zr 0.000 0.000 0.000
Zr2 Zr 0.000 0.500 0.500
Zr3 Zr 0.500 0.000 0.500
Zr4 Zr 0.500 0.500 0.000
Si1 Si 0.250 0.250 0.250
Si2 Si 0.250 0.250 0.750
Si3 Si 0.250 0.750 0.250
Si4 Si 0.250 0.750 0.750
Si5 Si 0.750 0.250 0.250
Si6 Si 0.750 0.250 0.750
Si7 Si 0.750 0.750 0.250
Si8 Si 0.750 0.750 0.750
H1 H 0.000 0.000 0.500
H2 H 0.000 0.500 0.000
H3 H 0.500 0.000 0.000
H4 H 0.500 0.500 0.500
```

=====

5.
# Sr2SnH2

A relaxed Sr2SnH2 crystal (GGA-PBEsol, Alexandria via LeMat-Bulk).

Geometry as CIF:
```
data_Sr2SnH2
_space_group_name_H-M_alt 'P 1'
_space_group_IT_number 1
_space_group_name_Hall 'P 1'
_cell_length_a 3.828
_cell_length_b 3.828
_cell_length_c 14.954
_cell_angle_alpha 90.00
_cell_angle_beta 90.00
_cell_angle_gamma 90.00
loop_
_atom_site_label
_atom_site_type_symbol
_atom_site_fract_x
_atom_site_fract_y
_atom_site_fract_z
Sr1 Sr 0.000 0.000 0.154
Sr2 Sr 0.000 0.000 0.846
Sr3 Sr 0.500 0.500 0.346
Sr4 Sr 0.500 0.500 0.654
Sn1 Sn 0.000 0.000 0.500
Sn2 Sn 0.500 0.500 0.000
H1 H 0.000 0.500 0.250
H2 H 0.000 0.500 0.750
H3 H 0.500 0.000 0.250
H4 H 0.500 0.000 0.750
```

=====

6.
# TaSn2H2

A relaxed TaSn2H2 crystal (GGA-PBEsol, Alexandria via LeMat-Bulk).

Geometry as CIF:
```
data_TaSn2H2
_space_group_name_H-M_alt 'P 1'
_space_group_IT_number 1
_space_group_name_Hall 'P 1'
_cell_length_a 5.164
_cell_length_b 5.164
_cell_length_c 5.609
_cell_angle_alpha 90.00
_cell_angle_beta 90.00
_cell_angle_gamma 90.00
loop_
_atom_site_label
_atom_site_type_symbol
_atom_site_fract_x
_atom_site_fract_y
_atom_site_fract_z
Ta1 Ta 0.000 0.000 0.000
Ta2 Ta 0.500 0.500 0.500
Sn1 Sn 0.000 0.500 0.250
Sn2 Sn 0.000 0.500 0.750
Sn3 Sn 0.500 0.000 0.250
Sn4 Sn 0.500 0.000 0.750
H1 H 0.000 0.000 0.416
H2 H 0.000 0.000 0.584
H3 H 0.500 0.500 0.084
H4 H 0.500 0.500 0.916
```

=====

7.
# TaSnH2

A relaxed TaSnH2 crystal (GGA-PBEsol, Alexandria via LeMat-Bulk).

Geometry as CIF:
```
data_TaSnH2
_space_group_name_H-M_alt 'P 1'
_space_group_IT_number 1
_space_group_name_Hall 'P 1'
_cell_length_a 5.707
_cell_length_b 5.707
_cell_length_c 5.707
_cell_angle_alpha 90.00
_cell_angle_beta 90.00
_cell_angle_gamma 90.00
loop_
_atom_site_label
_atom_site_type_symbol
_atom_site_fract_x
_atom_site_fract_y
_atom_site_fract_z
Ta1 Ta 0.000 0.000 0.000
Ta2 Ta 0.000 0.500 0.500
Ta3 Ta 0.500 0.000 0.500
Ta4 Ta 0.500 0.500 0.000
Sn1 Sn 0.000 0.000 0.500
Sn2 Sn 0.000 0.500 0.000
Sn3 Sn 0.500 0.000 0.000
Sn4 Sn 0.500 0.500 0.500
H1 H 0.250 0.250 0.250
H2 H 0.250 0.250 0.750
H3 H 0.250 0.750 0.250
H4 H 0.250 0.750 0.750
H5 H 0.750 0.250 0.250
H6 H 0.750 0.250 0.750
H7 H 0.750 0.750 0.250
H8 H 0.750 0.750 0.750
```

=====

8.
# Ta3SnH

A relaxed Ta3SnH crystal (GGA-PBEsol, Alexandria via LeMat-Bulk).

Geometry as CIF:
```
data_Ta3SnH
_space_group_name_H-M_alt 'P 1'
_space_group_IT_number 1
_space_group_name_Hall 'P 1'
_cell_length_a 4.197
_cell_length_b 4.197
_cell_length_c 4.197
_cell_angle_alpha 90.00
_cell_angle_beta 90.00
_cell_angle_gamma 90.00
loop_
_atom_site_label
_atom_site_type_symbol
_atom_site_fract_x
_atom_site_fract_y
_atom_site_fract_z
Ta1 Ta 0.000 0.000 0.500
Ta2 Ta 0.000 0.500 0.000
Ta3 Ta 0.500 0.000 0.000
Sn1 Sn 0.500 0.500 0.500
H1 H 0.000 0.000 0.000
```

=====

9.
# Tc2SnH2

A relaxed Tc2SnH2 crystal (GGA-PBEsol, Alexandria via LeMat-Bulk).

Geometry as CIF:
```
data_Tc2SnH2
_space_group_name_H-M_alt 'P 1'
_space_group_IT_number 1
_space_group_name_Hall 'P 1'
_cell_length_a 3.165
_cell_length_b 3.165
_cell_length_c 10.542
_cell_angle_alpha 90.00
_cell_angle_beta 90.00
_cell_angle_gamma 90.00
loop_
_atom_site_label
_atom_site_type_symbol
_atom_site_fract_x
_atom_site_fract_y
_atom_site_fract_z
Tc1 Tc 0.000 0.000 0.154
Tc2 Tc 0.000 0.000 0.846
Tc3 Tc 0.500 0.500 0.346
Tc4 Tc 0.500 0.500 0.654
Sn1 Sn 0.000 0.000 0.500
Sn2 Sn 0.500 0.500 0.000
H1 H 0.000 0.500 0.250
H2 H 0.000 0.500 0.750
H3 H 0.500 0.000 0.250
H4 H 0.500 0.000 0.750
```

=====

10.
# SnTeH3

A relaxed SnTeH3 crystal (GGA-PBEsol, Alexandria via LeMat-Bulk).

Geometry as CIF:
```
data_SnTeH3
_space_group_name_H-M_alt 'P 1'
_space_group_IT_number 1
_space_group_name_Hall 'P 1'
_cell_length_a 4.035
_cell_length_b 4.035
_cell_length_c 4.035
_cell_angle_alpha 90.00
_cell_angle_beta 90.00
_cell_angle_gamma 90.00
loop_
_atom_site_label
_atom_site_type_symbol
_atom_site_fract_x
_atom_site_fract_y
_atom_site_fract_z
Sn1 Sn 0.000 0.000 0.000
Te1 Te 0.500 0.500 0.500
H1 H 0.000 0.000 0.500
H2 H 0.000 0.500 0.000
H3 H 0.500 0.000 0.000
```

=====

11.
# YSnH3

A relaxed YSnH3 crystal (GGA-PBEsol, Alexandria via LeMat-Bulk).

Geometry as CIF:
```
data_YSnH3
_space_group_name_H-M_alt 'P 1'
_space_group_IT_number 1
_space_group_name_Hall 'P 1'
_cell_length_a 4.055
_cell_length_b 4.055
_cell_length_c 4.055
_cell_angle_alpha 90.00
_cell_angle_beta 90.00
_cell_angle_gamma 90.00
loop_
_atom_site_label
_atom_site_type_symbol
_atom_site_fract_x
_atom_site_fract_y
_atom_site_fract_z
Y1 Y 0.000 0.000 0.000
Sn1 Sn 0.500 0.500 0.500
H1 H 0.000 0.000 0.500
H2 H 0.000 0.500 0.000
H3 H 0.500 0.000 0.000
```

=====

12.
# Y2SnH2

A relaxed Y2SnH2 crystal (GGA-PBEsol, Alexandria via LeMat-Bulk).

Geometry as CIF:
```
data_Y2SnH2
_space_group_name_H-M_alt 'P 1'
_space_group_IT_number 1
_space_group_name_Hall 'P 1'
_cell_length_a 3.925
_cell_length_b 3.925
_cell_length_c 10.604
_cell_angle_alpha 90.00
_cell_angle_beta 90.00
_cell_angle_gamma 90.00
loop_
_atom_site_label
_atom_site_type_symbol
_atom_site_fract_x
_atom_site_fract_y
_atom_site_fract_z
Y1 Y 0.000 0.000 0.154
Y2 Y 0.000 0.000 0.846
Y3 Y 0.500 0.500 0.346
Y4 Y 0.500 0.500 0.654
Sn1 Sn 0.000 0.000 0.500
Sn2 Sn 0.500 0.500 0.000
H1 H 0.000 0.500 0.250
H2 H 0.000 0.500 0.750
H3 H 0.500 0.000 0.250
H4 H 0.500 0.000 0.750
```

=====

13.
# YSn3H

A relaxed YSn3H crystal (GGA-PBEsol, Alexandria via LeMat-Bulk).

Geometry as CIF:
```
data_YSn3H
_space_group_name_H-M_alt 'P 1'
_space_group_IT_number 1
_space_group_name_Hall 'P 1'
_cell_length_a 4.682
_cell_length_b 4.682
_cell_length_c 4.682
_cell_angle_alpha 90.00
_cell_angle_beta 90.00
_cell_angle_gamma 90.00
loop_
_atom_site_label
_atom_site_type_symbol
_atom_site_fract_x
_atom_site_fract_y
_atom_site_fract_z
Y1 Y 0.000 0.000 0.000
Sn1 Sn 0.000 0.500 0.500
Sn2 Sn 0.500 0.000 0.500
Sn3 Sn 0.500 0.500 0.000
H1 H 0.500 0.500 0.500
```

=====

14.
# ZnSn2H

A relaxed ZnSn2H crystal (GGA-PBEsol, Alexandria via LeMat-Bulk).

Geometry as CIF:
```
data_ZnSn2H
_space_group_name_H-M_alt 'P 1'
_space_group_IT_number 1
_space_group_name_Hall 'P 1'
_cell_length_a 6.561
_cell_length_b 6.561
_cell_length_c 6.561
_cell_angle_alpha 90.00
_cell_angle_beta 90.00
_cell_angle_gamma 90.00
loop_
_atom_site_label
_atom_site_type_symbol
_atom_site_fract_x
_atom_site_fract_y
_atom_site_fract_z
Zn1 Zn 0.000 0.000 0.000
Zn2 Zn 0.000 0.500 0.500
Zn3 Zn 0.500 0.000 0.500
Zn4 Zn 0.500 0.500 0.000
Sn1 Sn 0.250 0.250 0.250
Sn2 Sn 0.250 0.250 0.750
Sn3 Sn 0.250 0.750 0.250
Sn4 Sn 0.250 0.750 0.750
Sn5 Sn 0.750 0.250 0.250
Sn6 Sn 0.750 0.250 0.750
Sn7 Sn 0.750 0.750 0.250
Sn8 Sn 0.750 0.750 0.750
H1 H 0.000 0.000 0.500
H2 H 0.000 0.500 0.000
H3 H 0.500 0.000 0.000
H4 H 0.500 0.500 0.500
```

=====

| no. | VASP energy (eV per atom) |
| --- | --- |
| 1 | -3.92 |
| 2 | -5.33 |
| 3 | -4.76 |
| 4 | -5.43 |
| 5 | -3.48 |
| 6 | -5.14 |
| 7 | -4.99 |
| 8 | -9.14 |
| 9 | -6.56 |
| 10 | -2.95 |
| 11 | -4.29 |
| 12 | -5.70 |
| 13 | -4.82 |
| 14 | -3.01 |